First-principles (PBE with a Hubbard U) data for a relaxed CoGeTeO crystal, as listed in OQMD via LeMat-Bulk.

- Density: 6.00 g/cm3
- E above lowest polymorph: 0.106 eV per atom
- VASP energy: -4.798 eV per atom

The structure in extended XYZ format:
```
8
Lattice="-3.9803 0.1058 -1.0294 -1.0313 -0.7409 3.9116 -0.1856 8.8507 1.6274" Properties=species:S:1:pos:R:3 pbc="T T T"
Co -3.8507 3.9106 2.9683
Co -1.3465 4.3051 1.5413
Ge -3.7865 0.8503 2.4056
Ge -1.4107 7.3654 2.1040
O -3.3358 4.3195 1.0196
O -1.8614 3.8961 3.4901
Te -1.2814 1.2011 0.9706
Te -3.9158 7.0145 3.5391
```